A relaxed structure of LaBN2. Source: the Alexandria database, functional PBE-GGA.

Calculated values
**Magnetic moment**: 0.00 μB per atom
**ΔE_f (raw)**: 1139.8 meV per atom
**Space-group type**: R-3m

```
data_LaBN2
_chemical_formula_sum 'La1 B1 N2'
_cell_length_a 6.390
_cell_length_b 6.390
_cell_length_c 6.390
_cell_angle_alpha 26.76
_cell_angle_beta 26.76
_cell_angle_gamma 26.76
_space_group_name_H-M_alt 'P 1'
_space_group_IT_number 1
loop_
_space_group_symop_operation_xyz
'x,y,z'
loop_
_atom_site_label
_atom_site_type_symbol
_atom_site_fract_x
_atom_site_fract_y
_atom_site_fract_z
La1 La 0.000 0.000 0.000
B1 B 0.500 0.500 0.500
N1 N 0.123 0.123 0.123
N2 N 0.877 0.877 0.877
```